Material: CoH
Method: DFT, GGA-PBEsol
State: relaxed

The value obtained for the spin magnetization is 1.13 μB/f.u. For the total energy, the calculation gives -5.5789 eV per atom.

The structure belongs to space group Fm-3m (No. 225); the cell edges are 3.643, 3.643 and 3.643 Å and the angles 90.00°, 90.00° and 90.00°. The inequivalent atoms are Co at (0.000, 0.000, 0.000) and H at (0.000, 0.000, 0.500).